A geometry-optimized CrSnO2 structure, computed with PBE+U.

## Properties
- SG: Pnma
- Energy relative to the lowest polymorph listed for this composition: 178 meV per atom
- Total moment: 3.5 μB per formula unit

Cell and atoms, written as POSCAR:
```
CrSnO2
1.0
6.8618 0.0000 0.0000
0.0000 3.1044 0.0000
0.0000 0.0000 11.4587
Cr Sn O
4 4 8
direct
0.0376 0.2500 0.1155
0.4624 0.7500 0.6155
0.5376 0.2500 0.3845
0.9624 0.7500 0.8845
0.0667 0.7500 0.3687
0.4333 0.2500 0.8687
0.5667 0.7500 0.1313
0.9333 0.2500 0.6313
0.1376 0.2500 0.9411
0.1798 0.7500 0.1944
0.3202 0.2500 0.6944
0.3624 0.7500 0.4411
0.6376 0.2500 0.5589
0.6798 0.7500 0.3056
0.8202 0.2500 0.8056
0.8624 0.7500 0.0589
```